Entry from the Alexandria database: a relaxed Rb5ErHfMo6O24 crystal (PBE+U).

Lattice parameters (Å, degrees): 14.6534 14.6534 14.6534 44.01 44.01 44.01
Closest atoms and distances in Å follow each position.
Sites, in units of the cell vectors:
Rb: 0.1400 0.7500 0.3600  6 O 3.01-3.26
Rb: 0.1458 0.1458 0.1458  6 O 2.95-2.96
Rb: 0.2500 0.6400 0.8600  6 O 3.01-3.26
Rb: 0.3542 0.3542 0.3542  6 O 2.95-2.96
Rb: 0.3600 0.1400 0.7500  6 O 3.01-3.26
Rb: 0.6400 0.8600 0.2500  6 O 3.01-3.26
Rb: 0.6458 0.6458 0.6458  6 O 2.95-2.96
Rb: 0.7500 0.3600 0.1400  6 O 3.01-3.26
Rb: 0.8542 0.8542 0.8542  6 O 2.95-2.96
Rb: 0.8600 0.2500 0.6400  6 O 3.01-3.26
Er: 0.0000 0.0000 0.0000  6 O 2.25
Er: 0.5000 0.5000 0.5000  6 O 2.25
Hf: 0.2500 0.2500 0.2500  6 O 2.08
Hf: 0.7500 0.7500 0.7500  6 O 2.08
Mo: 0.0303 0.6125 0.2574  4 O 1.76-1.87
Mo: 0.1125 0.5303 0.7574  4 O 1.76-1.87
Mo: 0.2426 0.8875 0.4697  4 O 1.76-1.87
Mo: 0.2574 0.0303 0.6125  4 O 1.76-1.87
Mo: 0.3875 0.7426 0.9697  4 O 1.76-1.87
Mo: 0.4697 0.2426 0.8875  4 O 1.76-1.87
Mo: 0.5303 0.7574 0.1125  4 O 1.76-1.87
Mo: 0.6125 0.2574 0.0303  4 O 1.76-1.87
Mo: 0.7426 0.9697 0.3875  4 O 1.76-1.87
Mo: 0.7574 0.1125 0.5303  4 O 1.76-1.87
Mo: 0.8875 0.4697 0.2426  4 O 1.76-1.87
Mo: 0.9697 0.3875 0.7426  4 O 1.76-1.87
O: 0.0112 0.7850 0.1005  1 Mo 1.82
O: 0.0413 0.3206 0.2970  1 Mo 1.87, 1 Hf 2.08
O: 0.0768 0.6101 0.3412  1 Mo 1.76
O: 0.0964 0.3644 0.8801  1 Mo 1.77
O: 0.1005 0.0112 0.7850  1 Mo 1.82
O: 0.1101 0.5768 0.8412  1 Mo 1.76
O: 0.1199 0.9036 0.6356  1 Mo 1.77
O: 0.1356 0.4036 0.6199  1 Mo 1.77
O: 0.1588 0.8899 0.4232  1 Mo 1.76
O: 0.1794 0.4587 0.2030  1 Mo 1.87, 1 Hf 2.08
O: 0.2030 0.1794 0.4587  1 Mo 1.87, 1 Hf 2.08
O: 0.2150 0.8995 0.9888  1 Mo 1.82
O: 0.2850 0.5112 0.6005  1 Mo 1.82
O: 0.2970 0.0413 0.3206  1 Mo 1.87, 1 Hf 2.08
O: 0.3206 0.2970 0.0413  1 Mo 1.87, 1 Hf 2.08
O: 0.3412 0.0768 0.6101  1 Mo 1.76
O: 0.3644 0.8801 0.0964  1 Mo 1.77
O: 0.3801 0.8644 0.5964  1 Mo 1.77
O: 0.3899 0.6588 0.9232  1 Mo 1.76
O: 0.3995 0.7150 0.4888  1 Mo 1.82
O: 0.4036 0.6199 0.1356  1 Mo 1.77
O: 0.4232 0.1588 0.8899  1 Mo 1.76
O: 0.4587 0.2030 0.1794  1 Mo 1.87, 1 Hf 2.08
O: 0.4888 0.3995 0.7150  1 Mo 1.82
O: 0.5112 0.6005 0.2850  1 Mo 1.82
O: 0.5413 0.7970 0.8206  1 Mo 1.87, 1 Hf 2.08
O: 0.5768 0.8412 0.1101  1 Mo 1.76
O: 0.5964 0.3801 0.8644  1 Mo 1.77
O: 0.6005 0.2850 0.5112  1 Mo 1.82
O: 0.6101 0.3412 0.0768  1 Mo 1.76
O: 0.6199 0.1356 0.4036  1 Mo 1.77
O: 0.6356 0.1199 0.9036  1 Mo 1.77
O: 0.6588 0.9232 0.3899  1 Mo 1.76
O: 0.6794 0.7030 0.9587  1 Mo 1.87, 1 Hf 2.08
O: 0.7030 0.9587 0.6794  1 Mo 1.87, 1 Hf 2.08
O: 0.7150 0.4888 0.3995  1 Mo 1.82
O: 0.7850 0.1005 0.0112  1 Mo 1.82
O: 0.7970 0.8206 0.5413  1 Mo 1.87, 1 Hf 2.08
O: 0.8206 0.5413 0.7970  1 Mo 1.87, 1 Hf 2.08
O: 0.8412 0.1101 0.5768  1 Mo 1.76
O: 0.8644 0.5964 0.3801  1 Mo 1.77
O: 0.8801 0.0964 0.3644  1 Mo 1.77
O: 0.8899 0.4232 0.1588  1 Mo 1.76
O: 0.8995 0.9888 0.2150  1 Mo 1.82
O: 0.9036 0.6356 0.1199  1 Mo 1.77
O: 0.9232 0.3899 0.6588  1 Mo 1.76
O: 0.9587 0.6794 0.7030  1 Mo 1.87, 1 Hf 2.08
O: 0.9888 0.2150 0.8995  1 Mo 1.82

Summary:
Total DFT energy (no corrections), eV/atom: -6.9645